No. 1
Material: Mg2Mo
Method: DFT, GGA-PBE
State: optimized geometry

Fermi-level density of states   3.53 states/eV/cell
Energy of formation   0.5898 eV/atom
VASP energy   -24.5 eV for the cell shown

abc: 4.7505 4.7505 5.6506
angles: 90.00 90.00 120.00
Space group P6_3/mmc (No. 194)
Symmetry-distinct sites (fractional):
1 Mg 0.0000 0.0000 0.0000 (multiplicity 2)
2 Mg 0.3333 0.6667 0.2500 (multiplicity 2)
3 Mo 0.3333 0.6667 0.7500 (multiplicity 2)


No. 2
Material: NaGd3Ti2Sb2O14
Method: DFT, GGA-PBE
State: optimized geometry

Fermi-level density of states   0.00 states/eV/cell
E_form (uncorrected)   -2.679 eV per atom
VASP energy   -391.9 eV for the cell shown

abc: 7.355 7.327 12.682
angles: 90.00 125.08 90.00
Space group P2/c (No. 13)
Symmetry-distinct sites (fractional):
1 Na 0.000 0.000 0.000 (multiplicity 2)
2 Gd 0.000 0.246 0.250 (multiplicity 2)
3 Gd 0.000 0.500 0.000 (multiplicity 2)
4 Gd 0.500 0.229 0.250 (multiplicity 2)
5 Ti 0.500 0.263 0.750 (multiplicity 2)
6 Ti 0.500 0.500 0.000 (multiplicity 2)
7 Sb 0.000 0.254 0.750 (multiplicity 2)
8 Sb 0.500 0.000 0.000 (multiplicity 2)
9 O 0.133 0.260 0.131 (multiplicity 4)
10 O 0.170 0.045 0.871 (multiplicity 4)
11 O 0.176 0.455 0.877 (multiplicity 4)
12 O 0.178 0.268 0.678 (multiplicity 4)
13 O 0.424 0.251 0.423 (multiplicity 4)
14 O 0.426 0.446 0.622 (multiplicity 4)
15 O 0.443 0.051 0.632 (multiplicity 4)


No. 3
Material: Ba2OsO6
Method: DFT, GGA-PBE
State: optimized geometry

E_form (uncorrected)   -1.858 eV per atom
VASP energy   -246.2 eV for the cell shown

abc: 8.338 8.338 8.338
angles: 90.00 90.00 90.00
Space group Fm-3m (No. 225)
Symmetry-distinct sites (fractional):
1 Ba 0.250 0.250 0.250 (multiplicity 8)
2 Os 0.000 0.000 0.000 (multiplicity 4)
3 O 0.000 0.000 0.225 (multiplicity 24)


No. 4
Material: CsLiSi3
Method: DFT, GGA-PBE
State: optimized geometry

Fermi-level density of states   2.51 states/eV/cell
E_form (uncorrected)   0.837 eV per atom
VASP energy   -14.8 eV for the cell shown

abc: 4.923 4.923 4.923
angles: 90.00 90.00 90.00
Space group Pm-3m (No. 221)
Symmetry-distinct sites (fractional):
1 Cs 0.000 0.000 0.000 (multiplicity 1)
2 Li 0.500 0.500 0.500 (multiplicity 1)
3 Si 0.000 0.500 0.500 (multiplicity 3)


| no. | size of the total moment (μB per formula unit) |
| --- | --- |
| 1 | 1.48 |
| 2 | 21.00 |
| 3 | 0.00 |
| 4 | 0.00 |